1.
AgBrO3 | PBE-GGA | relaxed

The volume comes out at 13.719 Å³ per atom. The density comes out at 5.71 g/cm³. The uncorrected energy comes out at -2.98 eV/atom.

The structure in CIF format:
```
data_AgBrO3
_chemical_formula_sum 'Ag1 Br1 O3'
_space_group_name_H-M_alt 'P 1'
_space_group_IT_number 1
_space_group_name_Hall 'P 1'
_cell_length_a 4.0935
_cell_length_b 4.0935
_cell_length_c 4.0935
_cell_angle_alpha 90.00
_cell_angle_beta 90.00
_cell_angle_gamma 90.00
loop_
_atom_site_label
_atom_site_type_symbol
_atom_site_fract_x
_atom_site_fract_y
_atom_site_fract_z
Ag1 Ag 0.0000 0.0000 0.0000
Br1 Br 0.5000 0.5000 0.5000
O1 O 0.0000 0.0000 0.5000
O2 O 0.0000 0.5000 0.0000
O3 O 0.5000 0.0000 0.0000
```

---

2.
Ag2BrO3 | PBE-GGA | relaxed

The volume comes out at 17.990 Å³ per atom. The density comes out at 5.29 g/cm³. The uncorrected energy comes out at -3.48 eV/atom.

The structure in CIF format:
```
data_Ag2BrO3
_chemical_formula_sum 'Ag4 Br2 O6'
_space_group_name_H-M_alt 'P 1'
_space_group_IT_number 1
_space_group_name_Hall 'P 1'
_cell_length_a 11.7714
_cell_length_b 11.6861
_cell_length_c 4.3805
_cell_angle_alpha 80.34
_cell_angle_beta 78.14
_cell_angle_gamma 21.52
loop_
_atom_site_label
_atom_site_type_symbol
_atom_site_fract_x
_atom_site_fract_y
_atom_site_fract_z
Ag1 Ag 0.2264 0.7736 0.2264
Ag2 Ag 0.2500 0.2500 0.2500
Ag3 Ag 0.7500 0.7500 0.7500
Ag4 Ag 0.7736 0.2264 0.7736
Br1 Br 0.3835 0.3835 0.6165
Br2 Br 0.6165 0.6165 0.3835
O1 O 0.2009 0.6657 0.7991
O2 O 0.2563 0.2563 0.7437
O3 O 0.3343 0.7991 0.6657
O4 O 0.6657 0.2009 0.3343
O5 O 0.7437 0.7437 0.2563
O6 O 0.7991 0.3343 0.2009
```

---

3.
Ag2OsBr4O2 | PBE-GGA | relaxed

The volume comes out at 30.495 Å³ per atom. The density comes out at 4.58 g/cm³. The uncorrected energy comes out at -4.14 eV/atom.

The structure in CIF format:
```
data_Ag2OsBr4O2
_chemical_formula_sum 'Ag2 Os1 Br4 O2'
_space_group_name_H-M_alt 'P 1'
_space_group_IT_number 1
_space_group_name_Hall 'P 1'
_cell_length_a 6.4260
_cell_length_b 6.4260
_cell_length_c 7.2962
_cell_angle_alpha 105.65
_cell_angle_beta 105.65
_cell_angle_gamma 75.77
loop_
_atom_site_label
_atom_site_type_symbol
_atom_site_fract_x
_atom_site_fract_y
_atom_site_fract_z
Ag1 Ag 0.1491 0.1491 0.1139
Ag2 Ag 0.8509 0.8509 0.8861
Os1 Os 0.5000 0.5000 0.0000
Br1 Br 0.2016 0.6602 0.7344
Br2 Br 0.3398 0.7984 0.2656
Br3 Br 0.6602 0.2016 0.7344
Br4 Br 0.7984 0.3398 0.2656
O1 O 0.3283 0.3283 0.0079
O2 O 0.6717 0.6717 0.9921
```